1.
A plane-wave DFT calculation with GGA-PBE was carried out for an optimized crystal structure of Ti2NbH.

Cell lengths 2.9360, 2.9360, 21.9772 Å; angles 90.00, 90.00, 120.00 degrees
Closest atoms and distances in Å follow each position.
Space group R-3m (No. 166, hexagonal axes)
Inequivalent atoms, fractional coordinates:
Ti1 0.0000 0.0000 0.2219 [6 per cell]  3 H 2.08
Nb1 0.0000 0.0000 0.0000 [3 per cell]  6 Nb 2.94, 6 Ti 2.98
H1 0.0000 0.0000 0.5000 [3 per cell]  6 Ti 2.08

Values from the calculation:
- Excess energy over the best structure of this formula in the dataset: 0.0000 eV/atom
- DOS at the Fermi energy: 19.13 states/eV/cell
- E_tot: -7.37 eV/atom



2.
A plane-wave DFT calculation with GGA-PBE was carried out for an optimized crystal structure of Ti2Nb2H7.

Cell lengths 6.5864, 6.9403, 3.8718 Å; angles 90.00, 90.00, 90.00 degrees
Closest atoms and distances in Å follow each position.
Space group Cmmm (No. 65)
Inequivalent atoms, fractional coordinates:
Ti1 0.2393 0.0000 0.0000 [4 per cell]  6 H 1.95-1.96
Nb1 0.0000 0.2593 0.5000 [4 per cell]  7 H 1.80-1.95
H1 0.0000 0.0000 0.5000 [2 per cell]  2 Nb 1.80
H2 0.0000 0.5000 0.2404 [4 per cell]  2 H 1.86-2.01, 2 Nb 1.95, 2 Ti 1.95
H3 0.2500 0.2500 0.2367 [8 per cell]  2 H 1.83-2.04, 2 Nb 1.94, 2 Ti 1.96

Values from the calculation:
- DOS at the Fermi energy: 7.73 states/eV/cell
- E_tot: -5.68 eV/atom



3.
A plane-wave DFT calculation with GGA-PBE was carried out for an optimized crystal structure of Ti6NbH3.

Cell lengths 5.5098, 5.5098, 14.4496 Å; angles 90.00, 90.00, 120.00 degrees
Closest atoms and distances in Å follow each position.
Space group R3 (No. 146, hexagonal axes)
Inequivalent atoms, fractional coordinates:
Ti1 0.0006 0.5380 0.0000 [9 per cell]  3 H 2.06-2.09
Ti2 0.0017 0.3254 0.8363 [9 per cell]  3 H 2.11-2.14
Nb1 0.0000 0.0000 0.0136 [3 per cell]  3 Ti 2.55
H1 0.0000 0.0000 0.2431 [3 per cell]  6 Ti 2.06-2.14
H2 0.0000 0.0000 0.5748 [3 per cell]  6 Ti 2.08-2.14
H3 0.0000 0.0000 0.7591 [3 per cell]  6 Ti 2.09-2.11

Values from the calculation:
- DOS at the Fermi energy: 33.38 states/eV/cell
- E_tot: -6.78 eV/atom



4.
A plane-wave DFT calculation with GGA-PBE was carried out for an optimized crystal structure of TiNb4H10.

Cell lengths 7.1640, 7.1640, 4.5273 Å; angles 90.00, 90.00, 90.00 degrees
Closest atoms and distances in Å follow each position.
Space group I4/m (No. 87)
Inequivalent atoms, fractional coordinates:
Ti1 0.0000 0.0000 0.0000 [2 per cell]  8 H 1.93
Nb1 0.0992 0.7002 0.5000 [8 per cell]  8 H 1.96-1.98
H1 0.0000 0.5000 0.2500 [4 per cell]  4 Nb 1.96
H2 0.0985 0.1966 0.2452 [16 per cell]  1 Ti 1.93, 3 Nb 1.97-1.98

Values from the calculation:
- DOS at the Fermi energy: 8.49 states/eV/cell
- E_tot: -5.76 eV/atom



5.
A plane-wave DFT calculation with GGA-PBE was carried out for an optimized crystal structure of TiNbH2.

Cell lengths 3.0493, 3.0493, 14.3857 Å; angles 90.00, 90.00, 120.00 degrees
Closest atoms and distances in Å follow each position.
Space group R-3m (No. 166, hexagonal axes)
Inequivalent atoms, fractional coordinates:
Ti1 0.0000 0.0000 0.0000 [3 per cell]  6 H 2.13
Nb1 0.0000 0.0000 0.5000 [3 per cell]  6 H 2.13
H1 0.0000 0.0000 0.2498 [6 per cell]  3 Nb 2.13, 3 Ti 2.13

Values from the calculation:
- Excess energy over the best structure of this formula in the dataset: 0.0645 eV/atom
- DOS at the Fermi energy: 8.79 states/eV/cell
- E_tot: -6.41 eV/atom



6.
A plane-wave DFT calculation with GGA-PBE was carried out for an optimized crystal structure of Ti3Nb5H12.

Cell lengths 11.1476, 11.1476, 11.1476 Å; angles 90.00, 90.00, 90.00 degrees
Closest atoms and distances in Å follow each position.
Space group Ia-3d (No. 230)
Inequivalent atoms, fractional coordinates:
Ti1 0.0000 0.2500 0.1250 [24 per cell]  8 H 1.96-1.99
Nb1 0.0000 0.0000 0.0000 [16 per cell]  6 H 1.91
Nb2 0.0000 0.2500 0.3750 [24 per cell]  4 H 1.91
H1 0.0031 0.0743 0.6545 [96 per cell]  2 Nb 1.91, 1 H 1.92, 2 Ti 1.96-1.99

Values from the calculation:
- DOS at the Fermi energy: 54.10 states/eV/cell
- E_tot: -6.02 eV/atom



7.
A plane-wave DFT calculation with GGA-PBE was carried out for an optimized crystal structure of TiNbH2.

Cell lengths 2.9162, 2.9162, 15.9734 Å; angles 90.00, 90.00, 120.00 degrees
Closest atoms and distances in Å follow each position.
Space group R3m (No. 160, hexagonal axes)
Inequivalent atoms, fractional coordinates:
Ti1 0.0000 0.0000 0.0000 [3 per cell]  6 H 2.08-2.12
Nb1 0.0000 0.0000 0.8288 [3 per cell]  6 H 2.17-2.22
H1 0.0000 0.0000 0.4098 [3 per cell]  3 Ti 2.08, 3 Nb 2.17
H2 0.0000 0.0000 0.5862 [3 per cell]  3 Ti 2.12, 3 Nb 2.22

Values from the calculation:
- Excess energy over the best structure of this formula in the dataset: 0.2235 eV/atom
- DOS at the Fermi energy: 7.18 states/eV/cell
- E_tot: -6.25 eV/atom



8.
A plane-wave DFT calculation with GGA-PBE was carried out for an optimized crystal structure of TiNbH2.

Cell lengths 2.8422, 5.5823, 5.8331 Å; angles 115.73, 103.93, 90.30 degrees
Closest atoms and distances in Å follow each position.
Space group P-1 (No. 2)
Inequivalent atoms, fractional coordinates:
Ti1 0.0000 0.0000 0.0000 [1 per cell]  6 H 1.88-1.92
Ti2 0.5000 0.5000 0.0000 [1 per cell]  6 H 1.88-1.92
Nb1 0.0000 0.0000 0.5000 [1 per cell]  2 H 1.95
Nb2 0.0000 0.5000 0.5000 [1 per cell]  2 H 1.95
H1 0.0644 0.3833 0.1433 [2 per cell]  3 Ti 1.88-1.92, 1 Nb 1.95
H2 0.4232 0.1164 0.8558 [2 per cell]  3 Ti 1.88-1.92, 1 Nb 1.95

Values from the calculation:
- Excess energy over the best structure of this formula in the dataset: 0.0440 eV/atom
- DOS at the Fermi energy: 2.99 states/eV/cell
- E_tot: -6.43 eV/atom